Material: MnTeSeCl2
Method: DFT, PBE-GGA
State: relaxed

Lattice parameters (Å, degrees): 4.793 5.881 4.793 90.00 90.00 90.00
Fractional coordinates of all 5 atoms:
Mn1 0.000 0.500 0.000
Te1 0.500 0.500 0.500
Se1 0.000 0.000 0.000
Cl1 0.000 0.000 0.500
Cl2 0.500 0.000 0.000

Output
Total DFT energy (no corrections) ... -3.62 eV per atom
Size of the total moment ... 4.207 μB/f.u.
Space group ... P4/mmm, No. 123